{
  "formula": "Ta2TlCo",
  "functional": "GGA-PBE",
  "state": "optimized geometry",
  "lattice": [[3.998, 0.000, 0.000], [0.000, 3.998, 0.000], [0.000, 0.000, 8.656]],
  "species": ["Ta", "Ta", "Ta", "Ta", "Tl", "Tl", "Co", "Co"],
  "fractional_positions": [[0.000, 0.500, 0.250], [0.000, 0.500, 0.750], [0.500, 0.000, 0.250], [0.500, 0.000, 0.750], [0.000, 0.000, 0.000], [0.500, 0.500, 0.500], [0.000, 0.000, 0.500], [0.500, 0.500, 0.000]],
  "formation_enthalpy_0k_ev_per_atom": 0.370,
  "relative_energy_mev_per_atom": 144
}